Record 1
# Cs2Na3IrO6

Cs2Na3IrO6 after structural relaxation (PBE, Alexandria via LeMat-Bulk).

a b c (Å): 7.166 7.166 5.727
angles (deg): 100.38 100.38 125.71
Atoms (fractional coordinates):
Cs 0.177 0.823 0.000
Cs 0.823 0.177 0.000
Na 0.000 0.000 0.500
Na 0.387 0.613 0.500
Na 0.613 0.387 0.500
Ir 0.500 0.500 0.000
O 0.208 0.423 0.768
O 0.305 0.305 0.182
O 0.423 0.208 0.768
O 0.577 0.792 0.232
O 0.695 0.695 0.818
O 0.792 0.577 0.232

Output
Final energy in eV/atom: -4.8405
Volume in Å³/f.u.: 219.4
Fermi-level density of states in states/eV/atom: 0.630
SG: C2/m
Formation energy (no corrections) in eV/atom: -1.151

=====

Record 2
# SrCaAl2Au2

SrCaAl2Au2 after structural relaxation (PBE, Alexandria via LeMat-Bulk).

a b c (Å): 4.589 4.589 7.913
angles (deg): 90.00 90.00 120.00
Atoms (fractional coordinates):
Sr 0.000 0.000 0.000
Ca 0.000 0.000 0.500
Al 0.333 0.667 0.285
Al 0.667 0.333 0.715
Au 0.333 0.667 0.717
Au 0.667 0.333 0.283

Output
Final energy in eV/atom: -3.5705
Volume in Å³/f.u.: 144.3
Fermi-level density of states in states/eV/atom: 0.578
ΔH_f (0 K) in eV/atom: -0.617
SG: P-3m1

=====

Record 3
# InBPCl2

InBPCl2 after structural relaxation (PBE, Alexandria via LeMat-Bulk).

a b c (Å): 5.598 5.598 3.540
angles (deg): 90.00 90.00 90.00
Atoms (fractional coordinates):
In 0.000 0.000 0.000
B 0.500 0.500 0.500
P 0.500 0.500 0.000
Cl 0.000 0.500 0.500
Cl 0.500 0.000 0.500

Output
Energy relative to the lowest polymorph listed for this composition in kJ/mol of formula units: 0.0
Final energy in eV/atom: -3.4060
Volume in Å³/f.u.: 110.9
Fermi-level density of states in states/eV/atom: 0.927
SG: P4/mmm
Formation energy (no corrections) in eV/atom: 0.298

=====

Record 4
# CoTeP2

CoTeP2 after structural relaxation (PBE, Alexandria via LeMat-Bulk).

a b c (Å): 4.403 4.403 4.403
angles (deg): 114.80 114.80 99.26
Atoms (fractional coordinates):
Co 0.000 0.000 0.000
Te 0.250 0.750 0.500
P 0.500 0.500 0.000
P 0.750 0.250 0.500

Output
Final energy in eV/atom: -4.5760
Volume in Å³/f.u.: 64.2
Fermi-level density of states in states/eV/atom: 0.697
SG: I-4m2
Formation energy (no corrections) in eV/atom: 0.691